# 1
Compound: MgAgAs
Source: the Open Quantum Materials Database
Functional: PBE
Structure: optimized geometry

Cell: 7.0296 4.0908 8.0523 Å, 90.00 90.00 90.00°
With the nearest neighbours (Å) after each atom.
Space group Pnma (No. 62)
Symmetry-distinct sites (fractional):
Mg: 0.0517 0.2500 0.1805 x4  5 As 2.75-3.01
Ag: 0.1255 0.2500 0.5590 x4  4 As 2.63-2.86, 2 Ag 2.86
As: 0.2253 0.2500 0.8742 x4  4 Ag 2.63-2.86, 3 Mg 2.75-2.86

Computed properties:
As for the total energy: -3.30 eV per atom.



# 2
Compound: MgAgAs
Source: the Open Quantum Materials Database
Functional: PBE
Structure: optimized geometry

Cell: 4.4468 4.4468 6.9543 Å, 90.00 90.00 120.00°
With the nearest neighbours (Å) after each atom.
Space group P6_3/mmc (No. 194)
Symmetry-distinct sites (fractional):
Mg: 0.0000 0.0000 0.0000 x2  6 As 3.10, 6 Ag 3.10
Ag: 0.3333 0.6667 0.2500 x2  3 As 2.57
As: 0.3333 0.6667 0.7500 x2  3 Ag 2.57

Computed properties:
As for the total energy: -3.16 eV per atom.



# 3
Compound: MgNiAgAs
Source: the Open Quantum Materials Database
Functional: PBE
Structure: optimized geometry

Cell: 6.4270 6.4270 6.4270 Å, 90.00 90.00 90.00°
With the nearest neighbours (Å) after each atom.
Space group F-43m (No. 216)
Symmetry-distinct sites (fractional):
Mg: 0.0000 0.0000 0.0000 x4  4 As 2.78, 4 Ni 2.78
Ni: 0.2500 0.2500 0.2500 x4  4 Mg 2.78, 4 Ag 2.78
Ag: 0.0000 0.0000 0.5000 x4  4 Ni 2.78, 4 As 2.78
As: 0.2500 0.2500 0.7500 x4  4 Mg 2.78, 4 Ag 2.78

Computed properties:
The energy above the most stable polymorph in this dataset comes out at 0.1167 eV/atom. As for the total energy: -3.59 eV per atom.



# 4
Compound: MgNiAgAs
Source: the Open Quantum Materials Database
Functional: PBE
Structure: optimized geometry

Cell: 6.3432 6.3432 6.3432 Å, 90.00 90.00 90.00°
With the nearest neighbours (Å) after each atom.
Space group F-43m (No. 216)
Symmetry-distinct sites (fractional):
Mg: 0.0000 0.0000 0.0000 x4  4 As 2.75, 4 Ag 2.75
Ni: 0.0000 0.0000 0.5000 x4  4 As 2.75, 4 Ag 2.75
Ag: 0.2500 0.2500 0.7500 x4  4 Ni 2.75, 4 Mg 2.75
As: 0.2500 0.2500 0.2500 x4  4 Ni 2.75, 4 Mg 2.75

Computed properties:
The energy above the most stable polymorph in this dataset comes out at 0.0000 eV/atom. As for the total energy: -3.70 eV per atom.



# 5
Compound: MgAgAsO
Source: the Open Quantum Materials Database
Functional: PBE
Structure: optimized geometry

Cell: 3.3128 7.4412 5.6638 Å, 90.00 90.00 90.00°
With the nearest neighbours (Å) after each atom.
Space group Pmc2_1 (No. 26)
Symmetry-distinct sites (fractional):
Mg: 0.0000 0.1452 0.0000 x2  2 O 1.88
Ag: 0.5000 0.2363 0.4895 x2  2 O 2.31, 1 As 2.54
As: 0.5000 0.4316 0.8893 x2  2 Ag 2.54-2.69, 2 Mg 2.77
O: 0.0000 0.0658 0.3160 x2  2 Mg 1.88

Computed properties:
The energy above the most stable polymorph in this dataset comes out at 0.1914 eV/atom. As for the total energy: -4.17 eV per atom.



# 6
Compound: MgAgAsO
Source: the Open Quantum Materials Database
Functional: PBE
Structure: optimized geometry

Cell: 4.0333 4.0333 9.0026 Å, 90.00 90.00 90.00°
With the nearest neighbours (Å) after each atom.
Space group P4/nmm (No. 129, origin choice 2)
Symmetry-distinct sites (fractional):
Mg: 0.2500 0.2500 0.0087 x2  4 O 2.02
Ag: 0.2500 0.7500 0.5000 x2  4 As 2.63, 4 Ag 2.85
As: 0.2500 0.2500 0.6871 x2  4 Ag 2.63, 1 Mg 2.90
O: 0.2500 0.7500 0.0000 x2  4 Mg 2.02

Computed properties:
The energy above the most stable polymorph in this dataset comes out at 0.0000 eV/atom. As for the total energy: -4.37 eV per atom.